Record 1
Hf2TaAu: optimized geometry, GGA-PBE.

Calculated values
- uncorrected energy (eV per atom) = -8.306
- energy of formation (eV/f.u.) = 1.81
- ΔE to the lowest computed polymorph (kcal/mol of atoms) = 16.22
- magnetization (μB per formula unit) = 0.0

Cell: 4.1395 4.1395 19.7889 Å, 90.00 90.00 90.00°
Last column: nearest neighbours and their distance in Å.
Element x y z (fractional)
Hf1 0.2464 0.2500 0.1250  2 Ta 2.87, 2 Au 2.88, 4 Hf 2.91-2.95
Hf2 0.2500 0.7464 0.3750  2 Ta 2.87, 2 Au 2.88, 4 Hf 2.91-2.95
Hf3 0.2500 0.7536 0.8750  2 Ta 2.87, 2 Au 2.88, 4 Hf 2.91-2.95
Hf4 0.2536 0.2500 0.6250  2 Ta 2.87, 2 Au 2.88, 4 Hf 2.91-2.95
Hf5 0.7464 0.7500 0.6250  2 Ta 2.87, 2 Au 2.88, 4 Hf 2.91-2.95
Hf6 0.7500 0.2464 0.8750  2 Ta 2.87, 2 Au 2.88, 4 Hf 2.91-2.95
Hf7 0.7500 0.2536 0.3750  2 Ta 2.87, 2 Au 2.88, 4 Hf 2.91-2.95
Hf8 0.7536 0.7500 0.1250  2 Ta 2.87, 2 Au 2.88, 4 Hf 2.91-2.95
Ta1 0.0000 0.0000 0.0000  4 Hf 2.87, 4 Au 2.93
Ta2 0.0000 0.5000 0.2500  4 Hf 2.87, 4 Au 2.93
Ta3 0.5000 0.0000 0.7500  4 Hf 2.87, 4 Au 2.93
Ta4 0.5000 0.5000 0.5000  4 Hf 2.87, 4 Au 2.93
Au1 0.0000 0.0000 0.5000  4 Hf 2.88, 4 Ta 2.93
Au2 0.0000 0.5000 0.7500  4 Hf 2.88, 4 Ta 2.93
Au3 0.5000 0.0000 0.2500  4 Hf 2.88, 4 Ta 2.93
Au4 0.5000 0.5000 0.0000  4 Hf 2.88, 4 Ta 2.93

Record 2
HfTa2TeAu: optimized geometry, GGA-PBE.

Calculated values
- uncorrected energy (eV per atom) = -6.508
- ΔE_f (raw) (meV per atom) = 1508
- magnetization (μB per formula unit) = 0.0

Cell: 4.9667 4.9667 5.2959 Å, 90.00 90.00 90.00°
Last column: nearest neighbours and their distance in Å.
Element x y z (fractional)
Hf1 0.0000 0.0000 0.0000  4 Te 3.51, 8 Ta 3.63
Ta1 0.0000 0.5000 0.5000  2 Au 2.48
Ta2 0.5000 0.0000 0.5000  2 Au 2.48
Te1 0.5000 0.5000 0.0000  2 Au 2.65
Au1 0.5000 0.5000 0.5000  4 Ta 2.48, 2 Te 2.65

Record 3
HfZrTaAu: optimized geometry, GGA-PBE.

Calculated values
- uncorrected energy (eV per atom) = -8.517
- energy of formation (eV/f.u.) = -0.44
- magnetization (μB per formula unit) = 0.0

Cell: 6.8021 6.8021 6.8021 Å, 90.00 90.00 90.00°
Last column: nearest neighbours and their distance in Å.
Element x y z (fractional)
Hf1 0.0000 0.0000 0.0000  4 Ta 2.95, 4 Au 2.95
Hf2 0.0000 0.5000 0.5000  4 Ta 2.95, 4 Au 2.95
Hf3 0.5000 0.0000 0.5000  4 Ta 2.95, 4 Au 2.95
Hf4 0.5000 0.5000 0.0000  4 Ta 2.95, 4 Au 2.95
Zr1 0.0000 0.0000 0.5000  4 Au 2.95, 4 Ta 2.95
Zr2 0.0000 0.5000 0.0000  4 Au 2.95, 4 Ta 2.95
Zr3 0.5000 0.0000 0.0000  4 Au 2.95, 4 Ta 2.95
Zr4 0.5000 0.5000 0.5000  4 Au 2.95, 4 Ta 2.95
Ta1 0.2500 0.2500 0.7500  4 Zr 2.95, 4 Hf 2.95
Ta2 0.2500 0.7500 0.2500  4 Zr 2.95, 4 Hf 2.95
Ta3 0.7500 0.2500 0.2500  4 Zr 2.95, 4 Hf 2.95
Ta4 0.7500 0.7500 0.7500  4 Zr 2.95, 4 Hf 2.95
Au1 0.2500 0.2500 0.2500  4 Hf 2.95, 4 Zr 2.95
Au2 0.2500 0.7500 0.7500  4 Hf 2.95, 4 Zr 2.95
Au3 0.7500 0.2500 0.7500  4 Hf 2.95, 4 Zr 2.95
Au4 0.7500 0.7500 0.2500  4 Hf 2.95, 4 Zr 2.95

Record 4
TbHfAu6: optimized geometry, GGA-PBE.

Calculated values
- uncorrected energy (eV per atom) = -4.820
- energy of formation (eV/f.u.) = -4.31
- magnetization (μB per formula unit) = 0.0

Cell: 9.0932 4.4390 8.7756 Å, 90.00 118.48 90.00°
Last column: nearest neighbours and their distance in Å.
Element x y z (fractional)
Tb1 0.0000 0.0000 0.0000  12 Au 3.00-3.16
Tb2 0.5000 0.5000 0.0000  12 Au 3.00-3.16
Hf1 0.0000 0.0000 0.5000  12 Au 2.88-3.08
Hf2 0.5000 0.5000 0.5000  12 Au 2.88-3.08
Au1 0.0094 0.5000 0.7480  8 Au 2.91-3.07, 2 Hf 3.08, 2 Tb 3.16
Au2 0.2479 0.0000 0.8603  1 Hf 2.88, 6 Au 2.93-3.10, 3 Tb 3.00-3.04
Au3 0.2477 0.5000 0.6139  3 Hf 2.91-2.98, 8 Au 2.91-3.10, 1 Tb 3.05
Au4 0.2523 0.0000 0.3861  3 Hf 2.91-2.98, 8 Au 2.91-3.10, 1 Tb 3.05
Au5 0.2521 0.5000 0.1397  1 Hf 2.88, 6 Au 2.93-3.10, 3 Tb 3.00-3.04
Au6 0.4906 0.0000 0.2520  8 Au 2.91-3.07, 2 Hf 3.08, 2 Tb 3.16
Au7 0.5094 0.0000 0.7480  8 Au 2.91-3.07, 2 Hf 3.08, 2 Tb 3.16
Au8 0.7477 0.0000 0.6139  3 Hf 2.91-2.98, 8 Au 2.91-3.10, 1 Tb 3.05
Au9 0.7479 0.5000 0.8603  1 Hf 2.88, 6 Au 2.93-3.10, 3 Tb 3.00-3.04
Au10 0.7521 0.0000 0.1397  1 Hf 2.88, 6 Au 2.93-3.10, 3 Tb 3.00-3.04
Au11 0.7523 0.5000 0.3861  3 Hf 2.91-2.98, 8 Au 2.91-3.10, 1 Tb 3.05
Au12 0.9906 0.5000 0.2520  8 Au 2.91-3.07, 2 Hf 3.08, 2 Tb 3.16

no.,volume (Å³/cell)
1,339
2,131
3,315
4,311